VASP calculation (PBE-GGA) on crystalline Zn2Ga2Ge at its relaxed geometry.

Results
For the excess energy over the best structure of this formula in the dataset, the calculation gives 22 meV/atom. As for the formation enthalpy at 0 K: 0.17 eV/atom. Its calculated total energy is -2.476 eV/atom. The space group is P4/mbm, No. 127. The magnetic moment is 0.0 μB/cell. The crystal system is tetragonal. As for the density of states at the Fermi level: 0.33 states/eV per atom.

Geometry as CIF:
```
data_Zn2Ga2Ge
_chemical_formula_sum 'Zn4 Ga4 Ge2'
_symmetry_space_group_name_H-M 'P 1'
_symmetry_Int_Tables_number 1
_cell_length_a 7.5785
_cell_length_b 7.5785
_cell_length_c 3.1329
_cell_angle_alpha 90.00
_cell_angle_beta 90.00
_cell_angle_gamma 90.00
loop_
_symmetry_equiv_pos_as_xyz
'x,y,z'
loop_
_atom_site_label
_atom_site_type_symbol
_atom_site_fract_x
_atom_site_fract_y
_atom_site_fract_z
Zn1 Zn 0.6706 0.8294 0.5000
Ga1 Ga 0.6306 0.1306 0.0000
Ga2 Ga 0.8694 0.6306 0.0000
Zn2 Zn 0.1706 0.6706 0.5000
Zn3 Zn 0.8294 0.3294 0.5000
Zn4 Zn 0.3294 0.1706 0.5000
Ge1 Ge 0.0000 0.0000 0.0000
Ge2 Ge 0.5000 0.5000 0.0000
Ga3 Ga 0.1306 0.3694 0.0000
Ga4 Ga 0.3694 0.8694 0.0000
```